Entry 1:
{
  "formula": "Ce3USb5",
  "functional": "GGA-PBE",
  "state": "optimized geometry",
  "cell": [[-4.895, 3.673, -1.101], [-5.882, -7.572, 0.889], [2.234, 5.294, 7.727]],
  "species": ["Sb", "Sb", "Sb", "Sb", "Sb", "Sb", "Sb", "Sb", "Sb", "Sb", "Ce", "Ce", "Ce", "Ce", "Ce", "Ce", "U", "U"],
  "frac_coords": [[0.750, 0.722, 0.000], [0.250, 0.000, 0.278], [0.250, 0.722, 0.722], [0.500, 0.333, 0.667], [0.000, 0.667, 0.333], [0.250, 0.278, 0.000], [0.500, 0.667, 0.333], [0.000, 0.333, 0.667], [0.750, 0.000, 0.722], [0.750, 0.278, 0.278], [0.750, 0.616, 0.616], [0.250, 0.616, 0.000], [0.250, 0.000, 0.616], [0.250, 0.384, 0.384], [0.750, 0.384, 0.000], [0.750, 0.000, 0.384], [0.500, 0.000, 0.000], [0.000, 0.000, 0.000]]
}

Entry 2:
{
  "formula": "Ce5USb6",
  "functional": "GGA-PBE",
  "state": "optimized geometry",
  "cell": [[7.655, -0.146, -1.446], [-4.159, 6.429, -1.446], [0.139, 0.250, 7.747]],
  "species": ["Sb", "Sb", "Sb", "Sb", "Sb", "Sb", "Ce", "Ce", "Ce", "Ce", "Ce", "U"],
  "frac_coords": [[0.588, 0.918, 0.753], [0.412, 0.082, 0.247], [0.754, 0.754, 0.249], [0.246, 0.246, 0.751], [0.918, 0.588, 0.753], [0.082, 0.412, 0.247], [0.169, 0.831, 0.500], [0.666, 0.334, 0.000], [0.334, 0.666, 0.000], [0.831, 0.169, 0.500], [0.500, 0.500, 0.500], [0.000, 0.000, 0.000]]
}

Entry 3:
{
  "formula": "Ce6USb10",
  "functional": "GGA-PBE",
  "state": "optimized geometry",
  "cell": [[6.250, 0.000, 0.000], [0.000, 8.187, -4.727], [0.000, 0.000, 9.454]],
  "species": ["Sb", "Sb", "Sb", "Sb", "Sb", "Sb", "Sb", "Sb", "Sb", "Sb", "Ce", "Ce", "Ce", "Ce", "Ce", "Ce", "U"],
  "frac_coords": [[0.500, 0.333, 0.667], [0.241, 0.000, 0.732], [0.000, 0.333, 0.667], [0.241, 0.732, 0.000], [0.000, 0.667, 0.333], [0.759, 0.268, 0.000], [0.759, 0.732, 0.732], [0.241, 0.268, 0.268], [0.759, 0.000, 0.268], [0.500, 0.667, 0.333], [0.751, 0.000, 0.616], [0.751, 0.384, 0.384], [0.751, 0.616, 0.000], [0.249, 0.616, 0.616], [0.249, 0.000, 0.384], [0.249, 0.384, 0.000], [0.500, 0.000, 0.000]]
}

Entry 4:
{
  "formula": "CeUSb2",
  "functional": "GGA-PBE",
  "state": "optimized geometry",
  "cell": [[-1.091, 3.214, -1.641], [-1.781, 1.012, 3.165], [6.346, 3.419, 2.477]],
  "species": ["Sb", "Sb", "Ce", "U"],
  "frac_coords": [[0.000, 0.000, 0.242], [0.000, 0.000, 0.758], [0.500, 0.500, 0.500], [0.500, 0.500, 0.000]],
  "relative_energy_ev_per_atom": 0.084
}

Entry 5:
{
  "formula": "CeUSb2",
  "functional": "GGA-PBE",
  "state": "optimized geometry",
  "cell": [[4.228, 0.000, 1.197], [1.944, 3.754, 1.197], [0.069, 0.042, 7.821]],
  "species": ["Ce", "Sb", "Sb", "U"],
  "frac_coords": [[0.500, 0.500, 0.500], [0.252, 0.252, 0.243], [0.748, 0.748, 0.757], [0.000, 0.000, 0.000]],
  "relative_energy_ev_per_atom": 0.000
}

Entry 6:
{
  "formula": "CeUSb2",
  "functional": "GGA-PBE",
  "state": "optimized geometry",
  "cell": [[5.356, 0.000, 0.000], [2.678, 4.638, 0.000], [2.678, 1.546, 4.373]],
  "species": ["Sb", "Sb", "Ce", "U"],
  "frac_coords": [[0.750, 0.750, 0.750], [0.250, 0.250, 0.250], [0.000, 0.000, 0.000], [0.500, 0.500, 0.500]],
  "relative_energy_ev_per_atom": 0.108
}

Entry 7:
{
  "formula": "CeUSb2",
  "functional": "GGA-PBE",
  "state": "optimized geometry",
  "cell": [[3.204, 0.000, 0.000], [1.602, 2.775, 0.000], [1.602, 0.925, 11.839]],
  "species": ["Sb", "Sb", "Ce", "U"],
  "frac_coords": [[0.091, 0.091, 0.727], [0.909, 0.909, 0.273], [0.000, 0.000, 0.000], [0.500, 0.500, 0.500]],
  "relative_energy_ev_per_atom": 0.613
}

Entry 8:
{
  "formula": "CeVSb3",
  "functional": "GGA-PBE",
  "state": "optimized geometry",
  "cell": [[-1.200, 5.183, 2.901], [-2.920, -3.228, 4.560], [11.170, -1.015, 6.434]],
  "species": ["Sb", "Sb", "Sb", "Sb", "Sb", "Sb", "Sb", "Sb", "Sb", "Sb", "Sb", "Sb", "V", "V", "V", "V", "Ce", "Ce", "Ce", "Ce"],
  "frac_coords": [[0.500, 0.250, 0.499], [0.750, 0.503, 0.225], [0.250, 0.102, 0.936], [0.750, 0.898, 0.064], [0.250, 0.497, 0.775], [0.000, 0.250, 0.499], [0.250, 0.602, 0.064], [0.750, 0.398, 0.936], [0.500, 0.750, 0.501], [0.250, 0.997, 0.225], [0.750, 0.003, 0.775], [0.000, 0.750, 0.501], [0.000, 0.750, 0.902], [0.500, 0.250, 0.098], [0.000, 0.250, 0.098], [0.500, 0.750, 0.902], [0.250, 0.000, 0.692], [0.750, 0.000, 0.308], [0.750, 0.500, 0.692], [0.250, 0.500, 0.308]]
}

Entry 9:
{
  "formula": "CeVSb",
  "functional": "GGA-PBE",
  "state": "optimized geometry",
  "cell": [[-1.945, -0.536, -4.498], [2.707, -2.850, -0.831], [-3.188, -6.485, 2.151]],
  "species": ["V", "V", "Sb", "Sb", "Ce", "Ce"],
  "frac_coords": [[0.000, 0.000, 0.000], [0.500, 0.000, 0.000], [0.750, 0.612, 0.777], [0.250, 0.388, 0.223], [0.750, 0.839, 0.322], [0.250, 0.161, 0.678]]
}

Entry 10:
{
  "formula": "Ce6VSb10",
  "functional": "GGA-PBE",
  "state": "optimized geometry",
  "cell": [[6.207, 0.000, 0.000], [0.000, 7.990, -4.613], [0.000, 0.000, 9.226]],
  "species": ["Sb", "Sb", "Sb", "Sb", "Sb", "Sb", "Sb", "Sb", "Sb", "Sb", "Ce", "Ce", "Ce", "Ce", "Ce", "Ce", "V"],
  "frac_coords": [[0.000, 0.667, 0.333], [0.243, 0.752, 0.000], [0.757, 0.000, 0.248], [0.500, 0.667, 0.333], [0.500, 0.333, 0.667], [0.243, 0.000, 0.752], [0.243, 0.248, 0.248], [0.757, 0.752, 0.752], [0.000, 0.333, 0.667], [0.757, 0.248, 0.000], [0.749, 0.000, 0.617], [0.251, 0.383, 0.000], [0.251, 0.000, 0.383], [0.749, 0.383, 0.383], [0.749, 0.617, 0.000], [0.251, 0.617, 0.617], [0.500, 0.000, 0.000]]
}

Entry 11:
{
  "formula": "Ce4YSb6",
  "functional": "GGA-PBE",
  "state": "optimized geometry",
  "cell": [[8.739, 0.080, -0.154], [0.153, 8.738, -0.154], [-0.081, -0.080, 8.740]],
  "species": ["Sb", "Sb", "Sb", "Sb", "Sb", "Sb", "Sb", "Sb", "Sb", "Sb", "Sb", "Sb", "Ce", "Ce", "Ce", "Ce", "Ce", "Ce", "Ce", "Ce", "Y", "Y"],
  "frac_coords": [[0.172, 0.421, 0.434], [0.934, 0.079, 0.672], [0.421, 0.566, 0.828], [0.066, 0.921, 0.328], [0.672, 0.066, 0.079], [0.921, 0.672, 0.934], [0.434, 0.828, 0.421], [0.079, 0.328, 0.066], [0.579, 0.434, 0.172], [0.566, 0.172, 0.579], [0.328, 0.934, 0.921], [0.828, 0.579, 0.566], [0.361, 0.139, 0.250], [0.139, 0.750, 0.639], [0.250, 0.250, 0.750], [0.861, 0.250, 0.361], [0.639, 0.861, 0.750], [0.750, 0.750, 0.250], [0.250, 0.639, 0.139], [0.750, 0.361, 0.861], [0.500, 0.500, 0.500], [0.000, 0.000, 0.000]]
}

Entry 12:
{
  "formula": "Ce5YSb3",
  "functional": "GGA-PBE",
  "state": "optimized geometry",
  "cell": [[-4.539, 3.470, -3.394], [-3.508, -8.775, -5.950], [-3.076, 2.942, 7.956]],
  "species": ["Ce", "Ce", "Ce", "Ce", "Ce", "Ce", "Ce", "Ce", "Ce", "Ce", "Sb", "Sb", "Sb", "Sb", "Sb", "Sb", "Y", "Y"],
  "frac_coords": [[0.000, 0.331, 0.662], [0.500, 0.333, 0.665], [0.000, 0.669, 0.338], [0.223, 0.012, 0.654], [0.228, 0.677, 0.000], [0.772, 0.323, 0.000], [0.777, 0.988, 0.346], [0.500, 0.667, 0.335], [0.223, 0.359, 0.346], [0.777, 0.641, 0.654], [0.266, 0.367, 0.000], [0.269, 0.713, 0.677], [0.734, 0.633, 0.000], [0.731, 0.965, 0.677], [0.731, 0.287, 0.323], [0.269, 0.035, 0.323], [0.500, 0.000, 0.000], [0.000, 0.000, 0.000]]
}

The calculation returns the following E_form (uncorrected) values, one per record and in order: -0.83; -0.88; -0.81; -0.52; -0.60; -0.49; 0.01; -0.52; -0.20; -0.80; -0.90; -0.67 eV/atom.
The calculation returns the following theoretical density values, one per record and in order: 8.4; 7.3; 7.9; 9.5; 8.3; 9.5; 9.8; 7.5; 7.2; 7.7; 6.9; 7.3 g/cm3.